(1)
# KLiRu2, relaxed, DFT PBE
# Polymorph energy (0 for the lowest one)   366 meV/atom
# Density of states at the Fermi level   0.7071 states/eV/atom
data_KLiRu2
_chemical_formula_sum 'K1 Li1 Ru2'
_space_group_name_H-M_alt 'P 1 2/m 1'
_space_group_IT_number 10
_space_group_name_Hall '-P 2y'
_cell_length_a 3.1142
_cell_length_b 5.1831
_cell_length_c 4.5887
_cell_angle_alpha 90.00
_cell_angle_beta 103.76
_cell_angle_gamma 90.00
loop_
_atom_site_label
_atom_site_type_symbol
_atom_site_fract_x
_atom_site_fract_y
_atom_site_fract_z
K1 K 0.0000 0.0000 0.0000
Li1 Li 0.5000 0.0000 0.5000
Ru1 Ru 0.3425 0.5000 0.7211

---

(2)
# KLi2Ru, relaxed, DFT PBE
# Polymorph energy (0 for the lowest one)   107 meV/atom
# Density of states at the Fermi level   0.7329 states/eV/atom
data_KLi2Ru
_chemical_formula_sum 'K2 Li4 Ru2'
_space_group_name_H-M_alt 'C m m 2'
_space_group_IT_number 35
_space_group_name_Hall 'C 2 -2'
_cell_length_a 3.6920
_cell_length_b 4.2418
_cell_length_c 10.4213
_cell_angle_alpha 90.00
_cell_angle_beta 90.00
_cell_angle_gamma 90.00
loop_
_atom_site_label
_atom_site_type_symbol
_atom_site_fract_x
_atom_site_fract_y
_atom_site_fract_z
K1 K 0.0000 0.0000 0.0000
Li1 Li 0.0000 0.0000 0.5642
Li2 Li 0.0000 0.5000 0.3253
Ru1 Ru 0.0000 0.5000 0.7457